# 1
## NbRe2Tc (PBE-GGA)

Data for a relaxed NbRe2Tc crystal.

```
data_NbRe2Tc
_chemical_formula_sum 'Nb1 Re2 Tc1'
_cell_length_a 4.460
_cell_length_b 4.460
_cell_length_c 4.460
_cell_angle_alpha 60.00
_cell_angle_beta 60.00
_cell_angle_gamma 60.00
_space_group_name_H-M_alt 'P 1'
_space_group_IT_number 1
_space_group_name_Hall 'P 1'
loop_
_atom_site_label
_atom_site_type_symbol
_atom_site_fract_x
_atom_site_fract_y
_atom_site_fract_z
Re1 Re 0.250 0.250 0.250
Re2 Re 0.750 0.750 0.750
Nb1 Nb 0.000 0.000 0.000
Tc1 Tc 0.500 0.500 0.500
```

## Properties
Its density of states at the Fermi level is 4.7 states/eV per cell. Its crystal system is cubic. The calculation puts the total DFT energy (no corrections) at -45.0 eV for the cell shown. For the energy above the lowest structure with this stoichiometry, the calculation gives 0 meV/atom.

=====

# 2
## Nb2ReTc (PBE-GGA)

Data for a relaxed Nb2ReTc crystal.

```
data_Nb2ReTc
_chemical_formula_sum 'Nb2 Re1 Tc1'
_cell_length_a 5.830
_cell_length_b 5.830
_cell_length_c 5.830
_cell_angle_alpha 57.63
_cell_angle_beta 152.16
_cell_angle_gamma 130.63
_space_group_name_H-M_alt 'P 1'
_space_group_IT_number 1
_space_group_name_Hall 'P 1'
loop_
_atom_site_label
_atom_site_type_symbol
_atom_site_fract_x
_atom_site_fract_y
_atom_site_fract_z
Nb1 Nb 0.000 0.247 0.247
Nb2 Nb 0.000 0.753 0.753
Tc1 Tc 0.000 0.000 0.000
Re1 Re 0.000 0.500 0.500
```

## Properties
Its density of states at the Fermi level is 4.2 states/eV per cell. Its crystal system is orthorhombic. The calculation puts the total DFT energy (no corrections) at -40.1 eV for the cell shown.

=====

# 3
## Nb7Re3Tc2 (PBE-GGA)

Data for a relaxed Nb7Re3Tc2 crystal.

```
data_Nb7Re3Tc2
_chemical_formula_sum 'Nb7 Re3 Tc2'
_cell_length_a 4.438
_cell_length_b 4.532
_cell_length_c 11.248
_cell_angle_alpha 101.62
_cell_angle_beta 90.00
_cell_angle_gamma 90.00
_space_group_name_H-M_alt 'P 1'
_space_group_IT_number 1
_space_group_name_Hall 'P 1'
loop_
_atom_site_label
_atom_site_type_symbol
_atom_site_fract_x
_atom_site_fract_y
_atom_site_fract_z
Nb1 Nb 0.000 0.427 0.853
Nb2 Nb 0.500 0.078 0.155
Nb3 Nb 0.500 0.922 0.845
Nb4 Nb 0.000 0.287 0.575
Nb5 Nb 0.000 0.573 0.147
Nb6 Nb 0.000 0.000 0.000
Nb7 Nb 0.000 0.713 0.425
Re1 Re 0.500 0.354 0.708
Re2 Re 0.500 0.646 0.292
Re3 Re 0.500 0.500 0.000
Tc1 Tc 0.000 0.148 0.296
Tc2 Tc 0.000 0.852 0.704
```

## Properties
Its density of states at the Fermi level is 9.4 states/eV per cell. Its crystal system is orthorhombic. The calculation puts the total DFT energy (no corrections) at -125.7 eV for the cell shown.

=====

# 4
## Nb2ReTc (PBE-GGA)

Data for a relaxed Nb2ReTc crystal.

```
data_Nb2ReTc
_chemical_formula_sum 'Nb4 Re2 Tc2'
_cell_length_a 7.211
_cell_length_b 7.211
_cell_length_c 5.771
_cell_angle_alpha 51.34
_cell_angle_beta 51.34
_cell_angle_gamma 90.00
_space_group_name_H-M_alt 'P 1'
_space_group_IT_number 1
_space_group_name_Hall 'P 1'
loop_
_atom_site_label
_atom_site_type_symbol
_atom_site_fract_x
_atom_site_fract_y
_atom_site_fract_z
Tc1 Tc 0.250 0.750 0.500
Tc2 Tc 0.500 0.500 0.000
Re1 Re 0.000 0.000 0.000
Re2 Re 0.750 0.250 0.500
Nb1 Nb 0.622 0.125 0.250
Nb2 Nb 0.875 0.872 0.750
Nb3 Nb 0.128 0.625 0.250
Nb4 Nb 0.375 0.378 0.750
```

## Properties
Its density of states at the Fermi level is 9.1 states/eV per cell. Its crystal system is tetragonal. The calculation puts the total DFT energy (no corrections) at -81.2 eV for the cell shown.

=====

# 5
## Nb5Re2Tc (PBE-GGA)

Data for a relaxed Nb5Re2Tc crystal.

```
data_Nb5Re2Tc
_chemical_formula_sum 'Nb10 Re4 Tc2'
_cell_length_a 4.565
_cell_length_b 5.513
_cell_length_c 10.809
_cell_angle_alpha 90.00
_cell_angle_beta 90.00
_cell_angle_gamma 90.00
_space_group_name_H-M_alt 'P 1'
_space_group_IT_number 1
_space_group_name_Hall 'P 1'
loop_
_atom_site_label
_atom_site_type_symbol
_atom_site_fract_x
_atom_site_fract_y
_atom_site_fract_z
Re1 Re 0.500 0.669 0.617
Re2 Re 0.500 0.831 0.117
Re3 Re 0.500 0.169 0.883
Re4 Re 0.500 0.331 0.383
Tc1 Tc 0.000 0.500 0.000
Tc2 Tc 0.000 0.000 0.500
Nb1 Nb 0.000 0.500 0.500
Nb2 Nb 0.000 0.847 0.741
Nb3 Nb 0.000 0.653 0.241
Nb4 Nb 0.000 0.153 0.259
Nb5 Nb 0.500 0.837 0.378
Nb6 Nb 0.500 0.663 0.878
Nb7 Nb 0.500 0.337 0.122
Nb8 Nb 0.000 0.000 0.000
Nb9 Nb 0.000 0.347 0.759
Nb10 Nb 0.500 0.163 0.622
```

## Properties
Its density of states at the Fermi level is 15.5 states/eV per cell. Its crystal system is orthorhombic. The calculation puts the total DFT energy (no corrections) at -173.4 eV for the cell shown.

=====

# 6
## NbReTc2 (PBE-GGA)

Data for a relaxed NbReTc2 crystal.

```
data_NbReTc2
_chemical_formula_sum 'Nb1 Re1 Tc2'
_cell_length_a 3.126
_cell_length_b 4.460
_cell_length_c 4.460
_cell_angle_alpha 90.00
_cell_angle_beta 90.00
_cell_angle_gamma 90.00
_space_group_name_H-M_alt 'P 1'
_space_group_IT_number 1
_space_group_name_Hall 'P 1'
loop_
_atom_site_label
_atom_site_type_symbol
_atom_site_fract_x
_atom_site_fract_y
_atom_site_fract_z
Re1 Re 0.500 0.500 0.500
Tc1 Tc 0.000 0.000 0.500
Tc2 Tc 0.000 0.500 0.000
Nb1 Nb 0.500 0.000 0.000
```

## Properties
Its density of states at the Fermi level is 4.3 states/eV per cell. Its crystal system is tetragonal. The calculation puts the total DFT energy (no corrections) at -43.3 eV for the cell shown.

=====

# 7
## NbReTc2 (PBE-GGA)

Data for a relaxed NbReTc2 crystal.

```
data_NbReTc2
_chemical_formula_sum 'Nb2 Re2 Tc4'
_cell_length_a 7.179
_cell_length_b 7.179
_cell_length_c 5.716
_cell_angle_alpha 51.10
_cell_angle_beta 51.10
_cell_angle_gamma 90.00
_space_group_name_H-M_alt 'P 1'
_space_group_IT_number 1
_space_group_name_Hall 'P 1'
loop_
_atom_site_label
_atom_site_type_symbol
_atom_site_fract_x
_atom_site_fract_y
_atom_site_fract_z
Tc1 Tc 0.644 0.125 0.250
Tc2 Tc 0.875 0.894 0.750
Tc3 Tc 0.106 0.625 0.250
Tc4 Tc 0.375 0.356 0.750
Nb1 Nb 0.250 0.750 0.500
Nb2 Nb 0.500 0.500 0.000
Re1 Re 0.750 0.250 0.500
Re2 Re 0.000 0.000 0.000
```

## Properties
Its density of states at the Fermi level is 9.1 states/eV per cell. Its crystal system is tetragonal. The calculation puts the total DFT energy (no corrections) at -81.3 eV for the cell shown.

=====

# 8
## NbRe2Tc (PBE-GGA)

Data for a relaxed NbRe2Tc crystal.

```
data_NbRe2Tc
_chemical_formula_sum 'Nb1 Re2 Tc1'
_cell_length_a 4.011
_cell_length_b 3.957
_cell_length_c 3.957
_cell_angle_alpha 90.00
_cell_angle_beta 90.00
_cell_angle_gamma 90.00
_space_group_name_H-M_alt 'P 1'
_space_group_IT_number 1
_space_group_name_Hall 'P 1'
loop_
_atom_site_label
_atom_site_type_symbol
_atom_site_fract_x
_atom_site_fract_y
_atom_site_fract_z
Re1 Re 0.000 0.000 0.500
Re2 Re 0.000 0.500 0.000
Tc1 Tc 0.500 0.000 0.000
Nb1 Nb 0.500 0.500 0.500
```

## Properties
Its density of states at the Fermi level is 4.9 states/eV per cell. Its crystal system is tetragonal. The calculation puts the total DFT energy (no corrections) at -44.9 eV for the cell shown. For the energy above the lowest structure with this stoichiometry, the calculation gives 27 meV/atom.

=====

# 9
## Nb2ReTc (PBE-GGA)

Data for a relaxed Nb2ReTc crystal.

```
data_Nb2ReTc
_chemical_formula_sum 'Nb2 Re1 Tc1'
_cell_length_a 3.201
_cell_length_b 4.525
_cell_length_c 4.525
_cell_angle_alpha 90.00
_cell_angle_beta 90.00
_cell_angle_gamma 90.00
_space_group_name_H-M_alt 'P 1'
_space_group_IT_number 1
_space_group_name_Hall 'P 1'
loop_
_atom_site_label
_atom_site_type_symbol
_atom_site_fract_x
_atom_site_fract_y
_atom_site_fract_z
Nb1 Nb 0.000 0.000 0.500
Nb2 Nb 0.000 0.500 0.000
Tc1 Tc 0.500 0.500 0.500
Re1 Re 0.500 0.000 0.000
```

## Properties
Its density of states at the Fermi level is 1.2 states/eV per cell. Its crystal system is tetragonal. The calculation puts the total DFT energy (no corrections) at -44.2 eV for the cell shown.

=====

# 10
## NbReTc2 (PBE-GGA)

Data for a relaxed NbReTc2 crystal.

```
data_NbReTc2
_chemical_formula_sum 'Nb1 Re1 Tc2'
_cell_length_a 5.935
_cell_length_b 5.935
_cell_length_c 5.935
_cell_angle_alpha 53.59
_cell_angle_beta 151.97
_cell_angle_gamma 135.31
_space_group_name_H-M_alt 'P 1'
_space_group_IT_number 1
_space_group_name_Hall 'P 1'
loop_
_atom_site_label
_atom_site_type_symbol
_atom_site_fract_x
_atom_site_fract_y
_atom_site_fract_z
Tc1 Tc 0.000 0.277 0.277
Tc2 Tc 0.000 0.723 0.723
Nb1 Nb 0.000 0.000 0.000
Re1 Re 0.000 0.500 0.500
```

## Properties
Its density of states at the Fermi level is 3.0 states/eV per cell. Its crystal system is orthorhombic. The calculation puts the total DFT energy (no corrections) at -40.9 eV for the cell shown.

=====

Looking at formation energy from the elements for the records above, in order, we have 0.076 0.717 0.238 0.586 -0.136 -0.019 0.654 0.104 -0.312 0.600 eV/atom.